DFT (PBE-GGA) results for a geometry-optimized NbMo2N structure.

Structure (CIF):
```
data_NbMo2N
_symmetry_space_group_name_H-M 'P 1'
_symmetry_Int_Tables_number 1
_symmetry_space_group_name_Hall 'P 1'
_cell_length_a 2.854
_cell_length_b 2.854
_cell_length_c 8.348
_cell_angle_alpha 80.16
_cell_angle_beta 80.16
_cell_angle_gamma 60.00
loop_
_atom_site_label
_atom_site_type_symbol
_atom_site_fract_x
_atom_site_fract_y
_atom_site_fract_z
Nb1 Nb 0.000 0.000 0.000
N1 N 0.500 0.500 0.500
Mo1 Mo 0.109 0.109 0.672
Mo2 Mo 0.891 0.891 0.328
```

Values from the calculation:
The calculation puts the total magnetic moment at 0.0 Bohr magnetons per cell. The crystal system is trigonal. The calculation puts the formation energy (no corrections) at 1.22 eV/f.u.